[1]
Entry from the Alexandria database: a relaxed Tb3GaPt12 crystal (PBE).

Cell: 4.1059 4.1059 16.2000 Å, 90.00 90.00 90.00°
Fractional positions:
Tb  0.0000  0.0000  0.0000
Tb  0.0000  0.0000  0.2553
Tb  0.0000  0.0000  0.7447
Ga  0.0000  0.0000  0.5000
Pt  0.0000  0.5000  0.1282
Pt  0.0000  0.5000  0.3860
Pt  0.0000  0.5000  0.6140
Pt  0.0000  0.5000  0.8718
Pt  0.5000  0.0000  0.1282
Pt  0.5000  0.0000  0.3860
Pt  0.5000  0.0000  0.6140
Pt  0.5000  0.0000  0.8718
Pt  0.5000  0.5000  0.0000
Pt  0.5000  0.5000  0.2576
Pt  0.5000  0.5000  0.5000
Pt  0.5000  0.5000  0.7424


[2]
Entry from the Alexandria database: a relaxed TbGaPt3 crystal (PBE).

Cell: 6.2460 6.3328 5.1362 Å, 90.00 90.00 90.00°
Fractional positions:
Tb  0.0000  0.0000  0.0000
Tb  0.5000  0.5000  0.0000
Ga  0.0000  0.5000  0.5000
Ga  0.5000  0.0000  0.5000
Pt  0.0000  0.5000  0.0000
Pt  0.1476  0.1506  0.5000
Pt  0.3524  0.6506  0.5000
Pt  0.5000  0.0000  0.0000
Pt  0.6476  0.3494  0.5000
Pt  0.8524  0.8494  0.5000

Properties
- energy above the most stable polymorph in this dataset (meV per atom) = 272


[3]
Entry from the Alexandria database: a relaxed TbGa6Pt4 crystal (PBE).

Cell: 7.6320 7.6320 3.7890 Å, 90.00 90.00 120.00°
Fractional positions:
Tb  0.0000  0.0000  0.0000
Ga  0.1928  0.3855  0.5000
Ga  0.1928  0.8072  0.5000
Ga  0.5297  0.0593  0.0000
Ga  0.5297  0.4703  0.0000
Ga  0.6145  0.8072  0.5000
Ga  0.9407  0.4703  0.0000
Pt  0.3333  0.6667  0.0000
Pt  0.3938  0.1969  0.5000
Pt  0.8031  0.1969  0.5000
Pt  0.8031  0.6062  0.5000


[4]
Entry from the Alexandria database: a relaxed Tb2Ga9Pt3 crystal (PBE).

Cell: 7.7064 7.7064 10.5171 Å, 111.28 111.28 60.18°
Fractional positions:
Tb  0.0837  0.2523  0.2509
Tb  0.2523  0.0837  0.7509
Tb  0.7477  0.9163  0.2491
Tb  0.9163  0.7477  0.7491
Ga  0.0237  0.8621  0.0790
Ga  0.1379  0.9763  0.4210
Ga  0.1927  0.3593  0.5797
Ga  0.2139  0.5822  0.2506
Ga  0.3068  0.4776  0.9286
Ga  0.3593  0.1927  0.0797
Ga  0.3753  0.6247  0.7500
Ga  0.4178  0.7861  0.2494
Ga  0.4776  0.3068  0.4286
Ga  0.5224  0.6932  0.5714
Ga  0.5822  0.2139  0.7506
Ga  0.6247  0.3753  0.2500
Ga  0.6407  0.8073  0.9203
Ga  0.6932  0.5224  0.0714
Ga  0.7861  0.4178  0.7494
Ga  0.8073  0.6407  0.4203
Ga  0.8621  0.0237  0.5790
Ga  0.9763  0.1379  0.9210
Pt  0.0000  0.5000  0.0000
Pt  0.1607  0.6679  0.4983
Pt  0.3321  0.8393  0.0017
Pt  0.5000  0.0000  0.5000
Pt  0.6679  0.1607  0.9983
Pt  0.8393  0.3321  0.5017


[5]
Entry from the Alexandria database: a relaxed Tb4GaPt crystal (PBE).

Cell: 10.6382 10.6382 6.3204 Å, 90.00 90.00 151.34°
Fractional positions:
Tb  0.0545  0.9455  0.5000
Tb  0.1931  0.8069  0.7661
Tb  0.2070  0.7930  0.2798
Tb  0.3888  0.6112  0.5382
Tb  0.6112  0.3888  0.0382
Tb  0.7930  0.2070  0.7798
Tb  0.8069  0.1931  0.2661
Tb  0.9455  0.0545  0.0000
Ga  0.3395  0.6605  0.0218
Ga  0.6605  0.3395  0.5218
Pt  0.0792  0.9208  0.0066
Pt  0.9208  0.0792  0.5066


[6]
Entry from the Alexandria database: a relaxed Tb3Ga2Pt7 crystal (PBE).

Cell: 14.2038 14.2038 14.2038 Å, 163.64 163.64 23.21°
Fractional positions:
Tb  0.0000  0.0000  0.0000
Tb  0.1761  0.1761  0.0000
Tb  0.8239  0.8239  0.0000
Ga  0.3689  0.3689  0.0000
Ga  0.6311  0.6311  0.0000
Pt  0.0782  0.5782  0.5000
Pt  0.2804  0.2804  0.0000
Pt  0.4218  0.9218  0.5000
Pt  0.5000  0.5000  0.0000
Pt  0.5782  0.0782  0.5000
Pt  0.7196  0.7196  0.0000
Pt  0.9218  0.4218  0.5000

Properties
- energy above the most stable polymorph in this dataset (meV per atom) = 0


[7]
Entry from the Alexandria database: a relaxed Tb4Ga16Pt3 crystal (PBE).

Cell: 6.2352 6.2352 11.0967 Å, 90.00 90.00 90.00°
Fractional positions:
Tb  0.0000  0.5000  0.1916
Tb  0.0000  0.5000  0.8084
Tb  0.5000  0.0000  0.1916
Tb  0.5000  0.0000  0.8084
Ga  0.0000  0.0000  0.2014
Ga  0.0000  0.0000  0.7986
Ga  0.2094  0.2094  0.0000
Ga  0.2094  0.7906  0.0000
Ga  0.2465  0.2465  0.3754
Ga  0.2465  0.2465  0.6246
Ga  0.2465  0.7535  0.3754
Ga  0.2465  0.7535  0.6246
Ga  0.5000  0.5000  0.2313
Ga  0.5000  0.5000  0.7687
Ga  0.7535  0.2465  0.3754
Ga  0.7535  0.2465  0.6246
Ga  0.7535  0.7535  0.3754
Ga  0.7535  0.7535  0.6246
Ga  0.7906  0.2094  0.0000
Ga  0.7906  0.7906  0.0000
Pt  0.0000  0.5000  0.5000
Pt  0.5000  0.0000  0.5000
Pt  0.5000  0.5000  0.0000


[8]
Entry from the Alexandria database: a relaxed TbGa4Pt4 crystal (PBE).

Cell: 6.2102 6.2102 8.4678 Å, 90.00 90.00 90.00°
Fractional positions:
Tb  0.2500  0.7500  0.2500
Tb  0.7500  0.2500  0.7500
Ga  0.0221  0.2500  0.1498
Ga  0.2500  0.0221  0.6498
Ga  0.2500  0.4779  0.6498
Ga  0.4779  0.2500  0.1498
Ga  0.5221  0.7500  0.8502
Ga  0.7500  0.5221  0.3502
Ga  0.7500  0.9779  0.3502
Ga  0.9779  0.7500  0.8502
Pt  0.0240  0.2500  0.4524
Pt  0.2500  0.0240  0.9524
Pt  0.2500  0.4760  0.9524
Pt  0.4760  0.2500  0.4524
Pt  0.5240  0.7500  0.5476
Pt  0.7500  0.5240  0.0476
Pt  0.7500  0.9760  0.0476
Pt  0.9760  0.7500  0.5476


[9]
Entry from the Alexandria database: a relaxed Tb3Ga7Pt4 crystal (PBE).

Cell: 8.2265 8.2265 9.3413 Å, 123.74 123.74 30.36°
Fractional positions:
Tb  0.0000  0.0000  0.0000
Tb  0.3079  0.3079  0.3029
Tb  0.6921  0.6921  0.6971
Ga  0.0000  0.0000  0.5000
Ga  0.1554  0.1554  0.4290
Ga  0.3205  0.3205  0.9654
Ga  0.4994  0.4994  0.2901
Ga  0.5006  0.5006  0.7099
Ga  0.6795  0.6795  0.0346
Ga  0.8446  0.8446  0.5710
Pt  0.1235  0.1235  0.8512
Pt  0.3438  0.3438  0.7178
Pt  0.6562  0.6562  0.2822
Pt  0.8765  0.8765  0.1488


[10]
Entry from the Alexandria database: a relaxed Tb3GaPt crystal (PBE).

Cell: 5.9588 6.3490 8.0209 Å, 75.77 85.86 63.73°
Fractional positions:
Tb  0.0472  0.1712  0.1455
Tb  0.2703  0.2105  0.6476
Tb  0.3955  0.4920  0.2287
Tb  0.6045  0.5080  0.7713
Tb  0.7297  0.7895  0.3524
Tb  0.9528  0.8288  0.8545
Ga  0.1985  0.7958  0.4948
Ga  0.8015  0.2042  0.5052
Pt  0.4084  0.8532  0.9614
Pt  0.5916  0.1468  0.0386


[11]
Entry from the Alexandria database: a relaxed Tb3Ga7Pt2 crystal (PBE).

Cell: 4.2509 4.2228 13.4419 Å, 90.00 98.99 90.00°
Fractional positions:
Tb  0.0000  0.0000  0.0000
Tb  0.3171  0.5000  0.6394
Tb  0.6829  0.5000  0.3606
Ga  0.0844  0.5000  0.1615
Ga  0.2253  0.0000  0.4504
Ga  0.4186  0.0000  0.8378
Ga  0.5000  0.5000  0.0000
Ga  0.5814  0.0000  0.1622
Ga  0.7747  0.0000  0.5496
Ga  0.9156  0.5000  0.8385
Pt  0.1320  0.0000  0.2648
Pt  0.8680  0.0000  0.7352


[12]
Entry from the Alexandria database: a relaxed Tb4GaPt3 crystal (PBE).

Cell: 3.8131 4.4484 10.8008 Å, 90.00 90.00 90.00°
Fractional positions:
Tb  0.0000  0.0000  0.0000
Tb  0.0000  0.5000  0.2702
Tb  0.5000  0.0000  0.4854
Tb  0.5000  0.5000  0.7732
Ga  0.0000  0.0000  0.7089
Pt  0.0000  0.5000  0.5535
Pt  0.5000  0.0000  0.2202
Pt  0.5000  0.5000  0.0440


Energy of formation from the pure elements, respectively: -866; -617; -756; -677; -477; -975; -637; -700; -897; -709; -770; -1107 meV/atom.
Final energy, respectively: -6.454; -5.773; -5.025; -4.579; -5.075; -6.161; -4.335; -5.245; -5.128; -5.301; -4.700; -6.066 eV/atom.